1) The following is a GGA-PBE calculation of a geometry-optimized ScTlHg structure, from OQMD.

Unit cell a=4.7605 b=4.7605 c=4.7605 alpha=60.00 beta=60.00 gamma=60.00
Fractional coordinates of all 3 atoms:
Sc1 0.2500 0.2500 0.2500
Tl1 0.7500 0.7500 0.7500
Hg1 0.0000 0.0000 0.0000

Results
Volume = 76.3 Å³/cell

=====

2) The following is a GGA-PBE calculation of a geometry-optimized ScTlHg structure, from OQMD.

Unit cell a=4.8324 b=4.8324 c=4.8324 alpha=60.00 beta=60.00 gamma=60.00
Fractional coordinates of all 3 atoms:
Tl1 0.7500 0.7500 0.7500
Sc1 0.0000 0.0000 0.0000
Hg1 0.2500 0.2500 0.2500

Results
Volume = 79.8 Å³/cell

=====

Bottom line: 1), by a margin of 13.9 kJ/mol of atoms.